TaVBr2O | PBE+U | optimized geometry

a = 4.6400 Å, b = 4.6400 Å, c = 5.0248 Å
α = 90.00°, β = 90.00°, γ = 90.00°
Last column: nearest neighbours and their distance in Å.
Sites, in units of the cell vectors:
Ta (0.0000, 0.0000, 0.0000)  2 V 2.51
V (0.0000, 0.0000, 0.5000)  4 Br 2.32, 2 Ta 2.51
Br (0.0000, 0.5000, 0.5000)  2 V 2.32
Br (0.5000, 0.0000, 0.5000)  2 V 2.32
O (0.5000, 0.5000, 0.0000)  4 Ta 3.28, 8 Br 3.42

final energy: -20.80 eV/f.u.
crystal system: tetragonal
theoretical density: 6.26 g cm⁻³

***

Ta2VBrO | PBE+U | optimized geometry

a = 4.8929 Å, b = 4.8929 Å, c = 3.8339 Å
α = 90.00°, β = 90.00°, γ = 90.00°
Last column: nearest neighbours and their distance in Å.
Sites, in units of the cell vectors:
Ta (0.0000, 0.5000, 0.0000)  2 Br 2.45
Ta (0.5000, 0.0000, 0.0000)  2 Br 2.45
V (0.0000, 0.0000, 0.5000)  8 Ta 3.11, 4 O 3.46
Br (0.5000, 0.5000, 0.0000)  2 O 1.92
O (0.5000, 0.5000, 0.5000)  2 Br 1.92

final energy: -28.88 eV/f.u.
crystal system: tetragonal
theoretical density: 9.20 g cm⁻³